Density functional theory data (GGA-PBEsol) for crystalline Li2NiRh at its relaxed geometry.

Summary:
DFT formation energy = -0.29 eV per formula unit
total DFT energy (no corrections) = -4.630 eV per atom
energy above the most stable polymorph in this dataset = 0.017 eV per atom

```
Li2NiRh
1.0
-0.298 -0.467 -2.567
-2.456 -3.349 0.893
-3.451 2.516 -0.057
Li Ni Rh
2 1 1
Cartesian
-1.874 1.025 -1.312 Li
0.000 0.000 0.000 Li
-1.377 -1.908 -0.837 Ni
-2.954 -0.417 0.418 Rh
```